Density functional theory data (PBE) for a geometry-optimized Y3GaSi2Ni9 structure.

E_tot in eV/atom: -5.99
Total magnetic moment in μB/cell: 0.0
Formation energy without anion corrections in eV per atom: -0.303

Cell: 5.827 5.827 8.492 Å, 90.00 90.00 120.00°
Element x y z (fractional)
Ni  0.139  0.861  0.279
Ni  0.721  0.861  0.279
Ni  0.861  0.139  0.721
Ni  0.139  0.279  0.279
Ni  0.500  0.000  0.000
Ni  0.000  0.500  0.000
Ni  0.279  0.139  0.721
Ni  0.500  0.500  0.000
Ni  0.861  0.721  0.721
Y  0.667  0.333  0.322
Y  0.000  0.000  0.000
Y  0.333  0.667  0.678
Si  0.333  0.667  0.176
Si  0.667  0.333  0.824
Ga  0.000  0.000  0.500

=====

Density functional theory data (PBE) for a geometry-optimized KLi2Mn structure.

E_tot in eV/atom: -3.06
Excess energy over the best structure of this formula in the dataset in eV/atom: 0.0000
DFT formation energy in kJ per mole of atoms: 44
Total magnetic moment in μB/cell: 4.0

Cell: 3.446 3.614 8.556 Å, 90.00 90.00 90.00°
Element x y z (fractional)
K  0.500  0.500  0.750
Li  0.000  0.000  0.417
Li  0.000  0.000  0.083
Mn  0.500  0.500  0.250

=====

Density functional theory data (PBE) for a geometry-optimized Hf4MnZn3 structure.

E_tot in eV/atom: -6.81
DFT formation energy in kJ per mole of atoms: -21
Total magnetic moment in μB/cell: 0.0

Cell: 3.248 3.248 13.256 Å, 90.00 90.00 90.00°
Element x y z (fractional)
Hf  0.000  0.000  0.628
Hf  0.000  0.000  0.113
Hf  0.000  0.000  0.372
Hf  0.000  0.000  0.887
Zn  0.500  0.500  0.245
Zn  0.500  0.500  0.500
Zn  0.500  0.500  0.755
Mn  0.500  0.500  0.000

=====

Density functional theory data (PBE) for a geometry-optimized SnBi5Au4 structure.

E_tot in eV/atom: -3.65
DFT formation energy in kJ per mole of atoms: 0
Total magnetic moment in μB/cell: 0.0

Cell: 4.550 7.337 9.105 Å, 73.31 104.47 90.00°
Element x y z (fractional)
Au  0.665  0.024  0.331
Au  0.335  0.976  0.669
Au  0.977  0.252  0.954
Au  0.023  0.748  0.046
Bi  0.853  0.708  0.706
Bi  0.500  0.500  0.000
Bi  0.147  0.292  0.294
Bi  0.185  0.772  0.369
Bi  0.815  0.228  0.631
Sn  0.500  0.000  0.000

=====

Density functional theory data (PBE) for a geometry-optimized LiScIr2 structure.

E_tot in eV/atom: -6.80
DFT formation energy in kJ per mole of atoms: -30
Total magnetic moment in μB/cell: 0.0

Cell: 2.822 4.057 5.338 Å, 90.00 90.00 90.00°
Element x y z (fractional)
Ir  0.000  0.000  0.013
Ir  0.500  0.500  0.253
Sc  0.500  0.500  0.754
Li  0.000  0.000  0.480

=====

Density functional theory data (PBE) for a geometry-optimized Ac5NdPb3 structure.

E_tot in eV/atom: -4.39
DFT formation energy in kJ per mole of atoms: -33
Total magnetic moment in μB/cell: 6.2

Cell: 7.253 10.340 10.338 Å, 120.01 90.00 90.00°
Element x y z (fractional)
Pb  0.750  0.335  0.335
Pb  0.250  0.000  0.335
Pb  0.750  0.000  0.665
Pb  0.750  0.665  0.000
Pb  0.250  0.335  0.000
Pb  0.250  0.665  0.665
Ac  0.000  0.333  0.667
Ac  0.750  0.327  0.000
Ac  0.000  0.667  0.333
Ac  0.250  0.000  0.673
Ac  0.750  0.673  0.673
Ac  0.500  0.667  0.333
Ac  0.250  0.327  0.327
Ac  0.250  0.673  0.000
Ac  0.500  0.333  0.667
Ac  0.750  0.000  0.327
Nd  0.000  0.000  0.000
Nd  0.500  0.000  0.000

=====

> E_tot of number 1 (Y3GaSi2Ni9)?

-5.99 eV/atom

=====

> Which of these has the highest total magnetic moment?

Ac5NdPb3

=====

> Which of these has the lowest E_tot?

Hf4MnZn3